Density functional theory data (PBE) for a relaxed structure of BeMoBr2N.

```
5
Lattice="5.6691 0.0000 0.0000 0.0000 5.6691 0.0000 0.0000 0.0000 3.7578" Properties=species:S:1:pos:R:3 pbc="T T T"
Be 0.0000 0.0000 0.0000
Mo 2.8345 2.8345 0.0000
Br 0.0000 2.8345 1.8789
Br 2.8345 0.0000 1.8789
N 2.8345 2.8345 1.8789
```

Summary:
- ρ (g/cm³) = 3.833
- ΔE_f (raw) (eV/atom) = 1.161
- offset from the most stable computed form (meV/atom) = 454
- energy (eV/atom) = -4.084

Density functional theory data (PBE) for a relaxed structure of BeMoBr2N.

```
5
Lattice="5.1663 0.0000 0.0000 0.0000 5.1663 0.0000 0.0000 0.0000 3.2132" Properties=species:S:1:pos:R:3 pbc="T T T"
Be 0.0000 0.0000 0.0000
Mo 2.5832 2.5832 1.6066
Br 0.0000 2.5832 0.0000
Br 2.5832 0.0000 0.0000
N 0.0000 0.0000 1.6066
```

Summary:
- ρ (g/cm³) = 5.398
- ΔE_f (raw) (eV/atom) = 0.708
- offset from the most stable computed form (meV/atom) = 0
- energy (eV/atom) = -4.538